No. 1
The following is a DFT calculation (GGA-PBE) of crystalline La2NdZn4Si4 at its relaxed geometry.

Summary:
Space group: Immm (71)
Magnetization, μB per formula unit: 0.0
Total energy, eV/cell: -47.82

Unit cell a=12.731 b=12.731 c=12.731 alpha=160.91 beta=160.78 gamma=27.22
Fractional coordinates of all 11 atoms:
La (0.146, 0.146, 0.000)
La (0.854, 0.854, 0.000)
Nd (0.000, 0.500, 0.500)
Zn (0.250, 0.750, 0.500)
Zn (0.406, 0.406, 0.000)
Zn (0.594, 0.594, 0.000)
Zn (0.750, 0.250, 0.500)
Si (0.308, 0.308, 0.000)
Si (0.452, 0.952, 0.500)
Si (0.548, 0.048, 0.500)
Si (0.692, 0.692, 0.000)


No. 2
The following is a DFT calculation (GGA-PBE) of crystalline LaNd2Sn7 at its relaxed geometry.

Summary:
Space group: Cmmm (65)
Magnetization, μB per formula unit: 0.0
Total energy, eV/cell: -48.68

Unit cell a=13.155 b=13.155 c=4.680 alpha=90.00 beta=90.00 gamma=159.83
Fractional coordinates of all 10 atoms:
La (0.000, 0.000, 0.000)
Nd (0.185, 0.815, 0.000)
Nd (0.815, 0.185, 0.000)
Sn (0.096, 0.904, 0.500)
Sn (0.290, 0.710, 0.500)
Sn (0.404, 0.596, 0.000)
Sn (0.500, 0.500, 0.500)
Sn (0.596, 0.404, 0.000)
Sn (0.710, 0.290, 0.500)
Sn (0.904, 0.096, 0.500)


No. 3
The following is a DFT calculation (GGA-PBE) of crystalline LaNdZn6Sn3 at its relaxed geometry.

Summary:
Space group: P-6 (174)
Magnetization, μB per formula unit: 0.0
Total energy, eV/cell: -33.04

Unit cell a=8.022 b=8.022 c=4.301 alpha=90.00 beta=90.00 gamma=120.00
Fractional coordinates of all 11 atoms:
La (0.000, 0.000, 0.000)
Nd (0.667, 0.333, 0.000)
Zn (0.061, 0.671, 0.500)
Zn (0.146, 0.490, 0.000)
Zn (0.329, 0.391, 0.500)
Zn (0.343, 0.854, 0.000)
Zn (0.510, 0.657, 0.000)
Zn (0.609, 0.939, 0.500)
Sn (0.338, 0.057, 0.500)
Sn (0.720, 0.662, 0.500)
Sn (0.943, 0.280, 0.500)


No. 4
The following is a DFT calculation (GGA-PBE) of crystalline SrLaNd at its relaxed geometry.

Summary:
Space group: F-43m (216)
Magnetization, μB per formula unit: 1.5
Total energy, eV/cell: -35.90

Unit cell a=8.255 b=8.255 c=8.255 alpha=90.00 beta=90.00 gamma=90.00
Fractional coordinates of all 12 atoms:
Sr (0.000, 0.000, 0.000)
Sr (0.000, 0.500, 0.500)
Sr (0.500, 0.000, 0.500)
Sr (0.500, 0.500, 0.000)
La (0.250, 0.250, 0.750)
La (0.250, 0.750, 0.250)
La (0.750, 0.250, 0.250)
La (0.750, 0.750, 0.750)
Nd (0.000, 0.000, 0.500)
Nd (0.000, 0.500, 0.000)
Nd (0.500, 0.000, 0.000)
Nd (0.500, 0.500, 0.500)


No. 5
The following is a DFT calculation (GGA-PBE) of crystalline LaNdTa at its relaxed geometry.

Summary:
Formation energy from the elements, eV per atom: 1.2524
Space group: F-43m (216)
Magnetization, μB per formula unit: 1.1
Total energy, eV/cell: -71.12

Unit cell a=7.180 b=7.180 c=7.180 alpha=90.00 beta=90.00 gamma=90.00
Fractional coordinates of all 12 atoms:
La (0.000, 0.000, 0.000)
La (0.000, 0.500, 0.500)
La (0.500, 0.000, 0.500)
La (0.500, 0.500, 0.000)
Nd (0.250, 0.250, 0.250)
Nd (0.250, 0.750, 0.750)
Nd (0.750, 0.250, 0.750)
Nd (0.750, 0.750, 0.250)
Ta (0.000, 0.000, 0.500)
Ta (0.000, 0.500, 0.000)
Ta (0.500, 0.000, 0.000)
Ta (0.500, 0.500, 0.500)


No. 6
The following is a DFT calculation (GGA-PBE) of crystalline LaNd2Tc at its relaxed geometry.

Summary:
Formation energy from the elements, eV per atom: -0.0220
Space group: Pnma (62)
Magnetization, μB per formula unit: 0.0
Total energy, eV/cell: -99.59

Unit cell a=7.404 b=9.787 c=6.646 alpha=90.00 beta=90.00 gamma=90.00
Fractional coordinates of all 16 atoms:
La (0.060, 0.250, 0.133)
La (0.440, 0.750, 0.633)
La (0.560, 0.250, 0.367)
La (0.940, 0.750, 0.867)
Nd (0.174, 0.067, 0.667)
Nd (0.174, 0.433, 0.667)
Nd (0.326, 0.567, 0.167)
Nd (0.326, 0.933, 0.167)
Nd (0.674, 0.067, 0.833)
Nd (0.674, 0.433, 0.833)
Nd (0.826, 0.567, 0.333)
Nd (0.826, 0.933, 0.333)
Tc (0.124, 0.750, 0.477)
Tc (0.376, 0.250, 0.977)
Tc (0.624, 0.750, 0.023)
Tc (0.876, 0.250, 0.523)


No. 7
The following is a DFT calculation (GGA-PBE) of crystalline LaNdTe4 at its relaxed geometry.

Summary:
Space group: P4mm (99)
Magnetization, μB per formula unit: 0.0
Total energy, eV/cell: -30.24

Unit cell a=4.538 b=4.538 c=9.229 alpha=90.00 beta=90.00 gamma=90.00
Fractional coordinates of all 6 atoms:
La (0.000, 0.000, 0.000)
Nd (0.500, 0.500, 0.455)
Te (0.000, 0.000, 0.361)
Te (0.000, 0.500, 0.725)
Te (0.500, 0.000, 0.725)
Te (0.500, 0.500, 0.097)


No. 8
The following is a DFT calculation (GGA-PBE) of crystalline LaNdTe2 at its relaxed geometry.

Summary:
Space group: P4/mmm (123)
Magnetization, μB per formula unit: 0.0
Total energy, eV/cell: -22.01

Unit cell a=4.541 b=4.541 c=6.421 alpha=90.00 beta=90.00 gamma=90.00
Fractional coordinates of all 4 atoms:
La (0.000, 0.000, 0.000)
Nd (0.500, 0.500, 0.500)
Te (0.000, 0.000, 0.500)
Te (0.500, 0.500, 0.000)


No. 9
The following is a DFT calculation (GGA-PBE) of crystalline LaNd2Te3 at its relaxed geometry.

Summary:
Space group: P-3m1 (164)
Magnetization, μB per formula unit: 0.0
Total energy, eV/cell: -32.78

Unit cell a=4.518 b=4.518 c=11.080 alpha=90.00 beta=90.00 gamma=120.00
Fractional coordinates of all 6 atoms:
La (0.000, 0.000, 0.000)
Nd (0.333, 0.667, 0.666)
Nd (0.667, 0.333, 0.334)
Te (0.000, 0.000, 0.500)
Te (0.333, 0.667, 0.171)
Te (0.667, 0.333, 0.829)


No. 10
The following is a DFT calculation (GGA-PBE) of crystalline LaNdTe at its relaxed geometry.

Summary:
Space group: F-43m (216)
Magnetization, μB per formula unit: 0.6
Total energy, eV/cell: -60.10
Relative energy among the computed polymorphs, eV/f.u.: 0.00

Unit cell a=7.473 b=7.473 c=7.473 alpha=90.00 beta=90.00 gamma=90.00
Fractional coordinates of all 12 atoms:
La (0.000, 0.000, 0.000)
La (0.000, 0.500, 0.500)
La (0.500, 0.000, 0.500)
La (0.500, 0.500, 0.000)
Nd (0.000, 0.000, 0.500)
Nd (0.000, 0.500, 0.000)
Nd (0.500, 0.000, 0.000)
Nd (0.500, 0.500, 0.500)
Te (0.250, 0.250, 0.250)
Te (0.250, 0.750, 0.750)
Te (0.750, 0.250, 0.750)
Te (0.750, 0.750, 0.250)


No. 11
The following is a DFT calculation (GGA-PBE) of crystalline LaNdTh at its relaxed geometry.

Summary:
Formation energy from the elements, eV per atom: 0.7436
Space group: F-43m (216)
Magnetization, μB per formula unit: 1.4
Total energy, eV/cell: -59.47
Relative energy among the computed polymorphs, eV/f.u.: 0.00

Unit cell a=7.728 b=7.728 c=7.728 alpha=90.00 beta=90.00 gamma=90.00
Fractional coordinates of all 12 atoms:
La (0.000, 0.000, 0.000)
La (0.000, 0.500, 0.500)
La (0.500, 0.000, 0.500)
La (0.500, 0.500, 0.000)
Nd (0.250, 0.250, 0.750)
Nd (0.250, 0.750, 0.250)
Nd (0.750, 0.250, 0.250)
Nd (0.750, 0.750, 0.750)
Th (0.000, 0.000, 0.500)
Th (0.000, 0.500, 0.000)
Th (0.500, 0.000, 0.000)
Th (0.500, 0.500, 0.500)


No. 12
The following is a DFT calculation (GGA-PBE) of crystalline LaNdTl2 at its relaxed geometry.

Summary:
Space group: P4/mmm (123)
Magnetization, μB per formula unit: 0.0
Total energy, eV/cell: -16.06

Unit cell a=3.928 b=3.928 c=7.865 alpha=90.00 beta=90.00 gamma=90.00
Fractional coordinates of all 4 atoms:
La (0.000, 0.000, 0.000)
Nd (0.000, 0.000, 0.500)
Tl (0.500, 0.500, 0.258)
Tl (0.500, 0.500, 0.742)


> What is the formula in the third record?

LaNdZn6Sn3


> Among the records above, which one has the highest magnetization?

SrLaNd


> Number 4 is which compound?

SrLaNd